The following is a PBE calculation of a relaxed Dy2TmC crystal, from Alexandria via LeMat-Bulk.

Output
The crystal system is trigonal. The density of states at the Fermi level is 13.94 states/eV per cell. Its total energy is -69.4 eV/cell.

The structure in CIF format:
```
data_Dy2TmC
_chemical_formula_sum 'Dy6 Tm3 C3'
_symmetry_space_group_name_H-M 'R -3 m'
_symmetry_Int_Tables_number 166
_symmetry_space_group_name_Hall '-R 3 2"'
_cell_length_a 3.5272
_cell_length_b 3.5272
_cell_length_c 28.6329
_cell_angle_alpha 90.00
_cell_angle_beta 90.00
_cell_angle_gamma 120.00
loop_
_atom_site_label
_atom_site_fract_x
_atom_site_fract_y
_atom_site_fract_z
Dy1 0.0000 0.0000 0.1197
Tm1 0.0000 0.0000 0.0000
C1 0.0000 0.0000 0.5000
```



The following is a PBE calculation of a relaxed DyTm2UC4 crystal, from Alexandria via LeMat-Bulk.

Output
The crystal system is monoclinic. The density of states at the Fermi level is 8.85 states/eV per cell. Its total energy is -63.7 eV/cell.

The structure in CIF format:
```
data_DyTm2UC4
_chemical_formula_sum 'Dy1 Tm2 U1 C4'
_symmetry_space_group_name_H-M 'P 1 2/m 1'
_symmetry_Int_Tables_number 10
_cell_length_a 6.106
_cell_length_b 3.557
_cell_length_c 6.128
_cell_angle_alpha 90.00
_cell_angle_beta 110.09
_cell_angle_gamma 90.00
loop_
_symmetry_equiv_pos_as_xyz
'x,y,z'
'-x,-y,-z'
'-x,y,-z'
'x,-y,z'
loop_
_atom_site_label
_atom_site_fract_x
_atom_site_fract_y
_atom_site_fract_z
Dy1 0.000 0.000 0.000
Tm1 0.500 0.000 0.500
Tm2 0.500 0.500 0.000
U1 0.000 0.500 0.500
C1 0.227 0.000 0.725
C2 0.239 0.500 0.266
```



The following is a PBE calculation of a relaxed Dy2U2C3 crystal, from Alexandria via LeMat-Bulk.

Output
The crystal system is monoclinic. The density of states at the Fermi level is 17.70 states/eV per cell. Its total energy is -120.9 eV/cell.

The structure in CIF format:
```
data_Dy2U2C3
_chemical_formula_sum 'Dy4 U4 C6'
_symmetry_space_group_name_H-M 'C 1 2/m 1'
_symmetry_Int_Tables_number 12
_cell_length_a 11.689
_cell_length_b 3.507
_cell_length_c 6.118
_cell_angle_alpha 90.00
_cell_angle_beta 99.26
_cell_angle_gamma 90.00
loop_
_symmetry_equiv_pos_as_xyz
'x,y,z'
'-x,-y,-z'
'-x,y,-z'
'x,-y,z'
'x+1/2,y+1/2,z'
'-x+1/2,-y+1/2,-z'
'-x+1/2,y+1/2,-z'
'x+1/2,-y+1/2,z'
loop_
_atom_site_label
_atom_site_fract_x
_atom_site_fract_y
_atom_site_fract_z
Dy1 0.131 0.000 0.374
U1 0.124 0.500 0.882
C1 0.000 0.000 0.000
C2 0.244 0.000 0.783
```



The following is a PBE calculation of a relaxed DyUC2 crystal, from Alexandria via LeMat-Bulk.

Output
The crystal system is trigonal. The value obtained for the energy above the most stable polymorph in this dataset is 0.0 meV per atom. The density of states at the Fermi level is 7.82 states/eV per cell.

The structure in CIF format:
```
data_DyUC2
_chemical_formula_sum 'Dy3 U3 C6'
_symmetry_space_group_name_H-M 'R -3 m'
_symmetry_Int_Tables_number 166
_symmetry_space_group_name_Hall '-R 3 2"'
_cell_length_a 3.5851
_cell_length_b 3.5851
_cell_length_c 17.0470
_cell_angle_alpha 90.00
_cell_angle_beta 90.00
_cell_angle_gamma 120.00
loop_
_atom_site_label
_atom_site_fract_x
_atom_site_fract_y
_atom_site_fract_z
Dy1 0.0000 0.0000 0.0000
U1 0.0000 0.0000 0.5000
C1 0.0000 0.0000 0.2370
```



The following is a PBE calculation of a relaxed DyU5C6 crystal, from Alexandria via LeMat-Bulk.

Output
The crystal system is monoclinic. The density of states at the Fermi level is 32.77 states/eV per cell. Its total energy is -236.5 eV/cell.

The structure in CIF format:
```
data_DyU5C6
_chemical_formula_sum 'Dy2 U10 C12'
_symmetry_space_group_name_H-M 'C 1 2/m 1'
_symmetry_Int_Tables_number 12
_cell_length_a 6.055
_cell_length_b 10.489
_cell_length_c 6.087
_cell_angle_alpha 90.00
_cell_angle_beta 109.45
_cell_angle_gamma 90.00
loop_
_symmetry_equiv_pos_as_xyz
'x,y,z'
'-x,-y,-z'
'-x,y,-z'
'x,-y,z'
'x+1/2,y+1/2,z'
'-x+1/2,-y+1/2,-z'
'-x+1/2,y+1/2,-z'
'x+1/2,-y+1/2,z'
loop_
_atom_site_label
_atom_site_fract_x
_atom_site_fract_y
_atom_site_fract_z
Dy1 0.000 0.000 0.000
U1 0.000 0.162 0.500
U2 0.000 0.332 0.000
U3 0.000 0.500 0.500
C1 0.231 0.500 0.250
C2 0.238 0.326 0.739
```



The following is a PBE calculation of a relaxed DyUC crystal, from Alexandria via LeMat-Bulk.

Output
The crystal system is tetragonal. The value obtained for the energy above the most stable polymorph in this dataset is 423.4 meV per atom. The density of states at the Fermi level is 9.17 states/eV per cell.

The structure in CIF format:
```
data_DyUC
_chemical_formula_sum 'Dy2 U2 C2'
_symmetry_space_group_name_H-M 'I 4 m m'
_symmetry_Int_Tables_number 107
_symmetry_space_group_name_Hall 'I 4 -2'
_cell_length_a 3.072
_cell_length_b 3.072
_cell_length_c 11.593
_cell_angle_alpha 90.00
_cell_angle_beta 90.00
_cell_angle_gamma 90.00
loop_
_atom_site_label
_atom_site_fract_x
_atom_site_fract_y
_atom_site_fract_z
Dy1 0.000 0.000 0.000
U1 0.000 0.000 0.750
C1 0.000 0.000 0.343
```



The following is a PBE calculation of a relaxed DyUC crystal, from Alexandria via LeMat-Bulk.

Output
The crystal system is monoclinic. The value obtained for the energy above the most stable polymorph in this dataset is 0.0 meV per atom. The density of states at the Fermi level is 9.42 states/eV per cell.

The structure in CIF format:
```
data_DyUC
_chemical_formula_sum 'Dy2 U2 C2'
_symmetry_space_group_name_H-M 'P 1 21/m 1'
_symmetry_Int_Tables_number 11
_cell_length_a 5.396
_cell_length_b 3.417
_cell_length_c 5.995
_cell_angle_alpha 90.00
_cell_angle_beta 98.46
_cell_angle_gamma 90.00
loop_
_symmetry_equiv_pos_as_xyz
'x,y,z'
'-x,-y,-z'
'-x,y+1/2,-z'
'x,-y+1/2,z'
loop_
_atom_site_label
_atom_site_fract_x
_atom_site_fract_y
_atom_site_fract_z
Dy1 0.232 0.250 0.440
U1 0.295 0.750 0.960
C1 0.022 0.250 0.795
```



The following is a PBE calculation of a relaxed DyU2C3 crystal, from Alexandria via LeMat-Bulk.

Output
The crystal system is orthorhombic. The value obtained for the energy above the most stable polymorph in this dataset is 153.7 meV per atom. The density of states at the Fermi level is 14.00 states/eV per cell.

The structure in CIF format:
```
data_DyU2C3
_chemical_formula_sum 'Dy2 U4 C6'
_symmetry_space_group_name_H-M 'P m m a'
_symmetry_Int_Tables_number 51
_cell_length_a 6.114
_cell_length_b 3.278
_cell_length_c 9.067
_cell_angle_alpha 90.00
_cell_angle_beta 90.00
_cell_angle_gamma 90.00
loop_
_symmetry_equiv_pos_as_xyz
'x,y,z'
'-x,-y,-z'
'-x+1/2,-y,z'
'x+1/2,y,-z'
'x+1/2,-y,-z'
'-x+1/2,y,z'
'-x,y,-z'
'x,-y,z'
loop_
_atom_site_label
_atom_site_fract_x
_atom_site_fract_y
_atom_site_fract_z
Dy1 0.250 0.000 0.072
U1 0.250 0.000 0.716
U2 0.250 0.500 0.392
C1 0.000 0.000 0.500
C2 0.006 0.500 0.809
```



The following is a PBE calculation of a relaxed DyUC2 crystal, from Alexandria via LeMat-Bulk.

Output
The crystal system is monoclinic. The value obtained for the energy above the most stable polymorph in this dataset is 355.6 meV per atom. The density of states at the Fermi level is 5.53 states/eV per cell.

The structure in CIF format:
```
data_DyUC2
_chemical_formula_sum 'Dy2 U2 C4'
_symmetry_space_group_name_H-M 'C 1 2/m 1'
_symmetry_Int_Tables_number 12
_cell_length_a 6.118
_cell_length_b 3.533
_cell_length_c 5.941
_cell_angle_alpha 90.00
_cell_angle_beta 90.11
_cell_angle_gamma 90.00
loop_
_symmetry_equiv_pos_as_xyz
'x,y,z'
'-x,-y,-z'
'-x,y,-z'
'x,-y,z'
'x+1/2,y+1/2,z'
'-x+1/2,-y+1/2,-z'
'-x+1/2,y+1/2,-z'
'x+1/2,-y+1/2,z'
loop_
_atom_site_label
_atom_site_fract_x
_atom_site_fract_y
_atom_site_fract_z
Dy1 0.000 0.000 0.000
U1 0.000 0.000 0.500
C1 0.167 0.500 0.288
```



The following is a PBE calculation of a relaxed DyUC2 crystal, from Alexandria via LeMat-Bulk.

Output
The crystal system is trigonal. The value obtained for the energy above the most stable polymorph in this dataset is 183.7 meV per atom. The density of states at the Fermi level is 12.08 states/eV per cell.

The structure in CIF format:
```
data_DyUC2
_chemical_formula_sum 'Dy3 U3 C6'
_symmetry_space_group_name_H-M 'R 3 m'
_symmetry_Int_Tables_number 160
_symmetry_space_group_name_Hall 'R 3 -2"'
_cell_length_a 3.5407
_cell_length_b 3.5407
_cell_length_c 17.4894
_cell_angle_alpha 90.00
_cell_angle_beta 90.00
_cell_angle_gamma 120.00
loop_
_atom_site_label
_atom_site_fract_x
_atom_site_fract_y
_atom_site_fract_z
Dy1 0.0000 0.0000 0.0000
U1 0.0000 0.0000 0.8274
C1 0.0000 0.0000 0.2296
C2 0.0000 0.0000 0.4222
```